1.
SrLiIr2: relaxed, PBE-GGA.

* E: -19.67 eV/cell
* energy above the most stable polymorph in this dataset: 32.1 kJ per mole of atoms
* formation energy: 411 meV/atom

abc: 9.465 9.465 9.465
angles: 17.66 17.66 17.66
Fractional positions:
Sr1 0.000 0.000 0.000
Li1 0.500 0.500 0.500
Ir1 0.242 0.242 0.242
Ir2 0.758 0.758 0.758

2.
CdPW2: relaxed, PBE-GGA.

* E: -29.26 eV/cell
* energy above the most stable polymorph in this dataset: 47.2 kJ per mole of atoms
* formation energy: 742 meV/atom

abc: 4.975 4.975 4.975
angles: 133.06 133.06 68.56
Fractional positions:
Cd1 0.000 0.000 0.000
P1 0.250 0.750 0.500
W1 0.500 0.500 0.000
W2 0.750 0.250 0.500

3.
SrLiInS3: relaxed, PBE-GGA.

* uncorrected formation energy: -1194 meV/atom
* E: -51.76 eV/cell

abc: 7.206 7.206 10.759
angles: 90.00 90.00 148.16
Fractional positions:
Sr1 0.222 0.778 0.750
Sr2 0.778 0.222 0.250
Li1 0.000 0.000 0.000
Li2 0.000 0.000 0.500
In1 0.496 0.504 0.250
In2 0.504 0.496 0.750
S1 0.108 0.892 0.250
S2 0.381 0.619 0.077
S3 0.381 0.619 0.423
S4 0.619 0.381 0.577
S5 0.619 0.381 0.923
S6 0.892 0.108 0.750

4.
In2IBr: relaxed, PBE-GGA.

* uncorrected formation energy: -408 meV/atom
* E: -10.33 eV/cell
* energy above the most stable polymorph in this dataset: 13.5 kJ per mole of atoms

abc: 7.880 7.880 7.880
angles: 42.28 42.28 42.28
Fractional positions:
In1 0.139 0.139 0.139
In2 0.861 0.861 0.861
I1 0.000 0.000 0.000
Br1 0.500 0.500 0.500

5.
Sc2Fe2CuNi5: relaxed, PBE-GGA.

* E: -127.94 eV/cell
* formation energy: -138 meV/atom

abc: 8.450 8.450 3.729
angles: 90.00 90.00 90.00
Fractional positions:
Sc1 0.180 0.320 0.000
Sc2 0.320 0.820 0.000
Sc3 0.680 0.180 0.000
Sc4 0.820 0.680 0.000
Fe1 0.118 0.618 0.000
Fe2 0.382 0.118 0.000
Fe3 0.618 0.882 0.000
Fe4 0.882 0.382 0.000
Cu1 0.000 0.000 0.000
Cu2 0.500 0.500 0.000
Ni1 0.000 0.500 0.500
Ni2 0.064 0.795 0.500
Ni3 0.205 0.064 0.500
Ni4 0.295 0.564 0.500
Ni5 0.436 0.295 0.500
Ni6 0.500 0.000 0.500
Ni7 0.564 0.705 0.500
Ni8 0.705 0.436 0.500
Ni9 0.795 0.936 0.500
Ni10 0.936 0.205 0.500

6.
Na4ZnIn3O8: relaxed, PBE-GGA.

* uncorrected formation energy: -1498 meV/atom
* E: -78.40 eV/cell

abc: 6.671 6.671 6.671
angles: 58.12 58.12 58.12
Fractional positions:
Na1 0.000 0.000 0.000
Na2 0.000 0.500 0.500
Na3 0.500 0.000 0.500
Na4 0.500 0.500 0.000
Zn1 0.500 0.500 0.500
In1 0.000 0.000 0.500
In2 0.000 0.500 0.000
In3 0.500 0.000 0.000
O1 0.239 0.239 0.239
O2 0.243 0.734 0.734
O3 0.266 0.266 0.757
O4 0.266 0.757 0.266
O5 0.734 0.243 0.734
O6 0.734 0.734 0.243
O7 0.757 0.266 0.266
O8 0.761 0.761 0.761

7.
SiBi2Te4: relaxed, PBE-GGA.

* uncorrected formation energy: -38 meV/atom
* E: -26.02 eV/cell

abc: 6.841 6.841 6.841
angles: 103.53 103.53 122.16
Fractional positions:
Si1 0.000 0.000 0.000
Bi1 0.250 0.750 0.500
Bi2 0.750 0.250 0.500
Te1 0.087 0.087 0.673
Te2 0.414 0.414 0.327
Te3 0.586 0.913 0.000
Te4 0.913 0.586 0.000

8.
RbCd2Pb2Au2: relaxed, PBE-GGA.

* E: -17.45 eV/cell
* formation energy: -98 meV/atom

abc: 10.671 10.671 10.671
angles: 26.59 26.59 26.59
Fractional positions:
Rb1 0.000 0.000 0.000
Cd1 0.249 0.249 0.249
Cd2 0.751 0.751 0.751
Pb1 0.129 0.129 0.129
Pb2 0.871 0.871 0.871
Au1 0.423 0.423 0.423
Au2 0.577 0.577 0.577

9.
LaBeAs4: relaxed, PBE-GGA.

* E: -26.91 eV/cell
* formation energy: 57 meV/atom

abc: 5.648 5.648 5.648
angles: 60.00 60.00 60.00
Fractional positions:
La1 0.000 0.000 0.000
Be1 0.250 0.250 0.250
As1 0.138 0.621 0.621
As2 0.621 0.138 0.621
As3 0.621 0.621 0.138
As4 0.621 0.621 0.621

10.
Be2CuP: relaxed, PBE-GGA.

* E: -15.98 eV/cell
* formation energy: 244 meV/atom

abc: 2.489 2.489 6.993
angles: 90.00 90.00 96.66
Fractional positions:
Be1 0.000 0.000 0.231
Be2 0.000 0.000 0.769
Cu1 0.500 0.500 0.000
P1 0.500 0.500 0.500

11.
CaNd2Pa: relaxed, PBE-GGA.

* E: -19.42 eV/cell
* energy above the most stable polymorph in this dataset: 23.3 kJ per mole of atoms
* formation energy: 403 meV/atom

abc: 13.094 13.094 13.094
angles: 14.91 14.91 14.91
Fractional positions:
Ca1 0.000 0.000 0.000
Nd1 0.417 0.417 0.417
Nd2 0.583 0.583 0.583
Pa1 0.500 0.500 0.500

12.
LiTm2Au3: relaxed, PBE-GGA.

* E: -50.39 eV/cell
* energy above the most stable polymorph in this dataset: 2.8 kJ per mole of atoms
* formation energy: -751 meV/atom

abc: 7.676 7.676 7.070
angles: 90.00 90.00 37.33
Fractional positions:
Li1 0.000 0.000 0.000
Li2 0.000 0.000 0.500
Tm1 0.341 0.341 0.000
Tm2 0.341 0.341 0.500
Tm3 0.659 0.659 0.000
Tm4 0.659 0.659 0.500
Au1 0.171 0.178 0.250
Au2 0.178 0.171 0.750
Au3 0.415 0.585 0.750
Au4 0.585 0.415 0.250
Au5 0.822 0.829 0.250
Au6 0.829 0.822 0.750

13.
ZnCuBi2: relaxed, PBE-GGA.

* E: -23.41 eV/cell
* formation energy: 356 meV/atom

abc: 7.282 7.282 7.282
angles: 127.17 127.17 77.97
Fractional positions:
Zn1 0.000 0.000 0.000
Zn2 0.750 0.250 0.500
Cu1 0.250 0.750 0.500
Cu2 0.500 0.500 0.000
Bi1 0.145 0.625 0.020
Bi2 0.375 0.395 0.520
Bi3 0.605 0.125 0.980
Bi4 0.875 0.855 0.480

14.
Na3Tb2ErO6: relaxed, PBE-GGA.

* uncorrected formation energy: -2798 meV/atom
* E: -81.11 eV/cell

abc: 5.941 5.941 5.924
angles: 99.63 99.63 120.00
Fractional positions:
Na1 0.000 0.000 0.000
Na2 0.335 0.665 0.000
Na3 0.665 0.335 0.000
Tb1 0.167 0.833 0.500
Tb2 0.833 0.167 0.500
Er1 0.500 0.500 0.500
O1 0.100 0.430 0.289
O2 0.241 0.241 0.711
O3 0.430 0.100 0.289
O4 0.570 0.900 0.711
O5 0.759 0.759 0.289
O6 0.900 0.570 0.711

15.
SrPW2: relaxed, PBE-GGA.

* E: -31.95 eV/cell
* formation energy: 263 meV/atom

abc: 4.477 4.477 6.551
angles: 100.93 100.93 43.32
Fractional positions:
Sr1 0.000 0.000 0.000
P1 0.737 0.737 0.328
W1 0.208 0.208 0.616
W2 0.470 0.470 0.468

16.
TbTh2PaN4: relaxed, PBE-GGA.

* uncorrected formation energy: -1611 meV/atom
* E: -75.15 eV/cell

abc: 6.154 3.571 6.238
angles: 90.00 109.19 90.00
Fractional positions:
Tb1 0.000 0.000 0.000
Th1 0.000 0.500 0.500
Th2 0.500 0.000 0.500
Pa1 0.500 0.500 0.000
N1 0.257 0.500 0.232
N2 0.266 0.000 0.776
N3 0.734 0.000 0.224
N4 0.743 0.500 0.768

17.
Sb2MoRu: relaxed, PBE-GGA.

* uncorrected formation energy: 174 meV/atom
* E: -27.65 eV/cell
* energy above the most stable polymorph in this dataset: 10.0 kJ per mole of atoms

abc: 6.560 6.560 6.560
angles: 149.27 147.26 45.51
Fractional positions:
Sb1 0.000 0.000 0.000
Sb2 0.759 0.259 0.500
Mo1 0.172 0.672 0.500
Ru1 0.420 0.420 0.000

18.
CaAsI2Cl: relaxed, PBE-GGA.

* uncorrected formation energy: -539 meV/atom
* E: -14.29 eV/cell

abc: 5.552 5.552 5.920
angles: 90.00 90.00 90.00
Fractional positions:
Ca1 0.000 0.000 0.000
As1 0.000 0.000 0.500
I1 0.000 0.500 0.500
I2 0.500 0.000 0.500
Cl1 0.500 0.500 0.000

19.
AsPd2O: relaxed, PBE-GGA.

* uncorrected formation energy: -76 meV/atom
* E: -40.59 eV/cell
* energy above the most stable polymorph in this dataset: 7.8 kJ per mole of atoms

abc: 5.720 5.720 5.720
angles: 119.12 119.12 91.52
Fractional positions:
As1 0.000 0.000 0.000
As2 0.750 0.250 0.500
Pd1 0.160 0.625 0.035
Pd2 0.375 0.410 0.535
Pd3 0.590 0.125 0.965
Pd4 0.875 0.840 0.465
O1 0.250 0.750 0.500
O2 0.500 0.500 0.000

20.
Mg2FeHg: relaxed, PBE-GGA.

* E: -11.38 eV/cell
* formation energy: 142 meV/atom

abc: 5.631 5.631 5.631
angles: 146.47 131.05 60.64
Fractional positions:
Mg1 0.000 0.000 0.000
Mg2 0.717 0.217 0.500
Fe1 0.230 0.730 0.500
Hg1 0.457 0.457 0.000

21.
La2TlAs: relaxed, PBE-GGA.

* E: -19.87 eV/cell
* energy above the most stable polymorph in this dataset: 17.8 kJ per mole of atoms
* formation energy: -749 meV/atom

abc: 5.412 5.412 3.953
angles: 90.00 90.00 100.85
Fractional positions:
La1 0.000 0.500 0.000
La2 0.500 0.000 0.000
Tl1 0.000 0.000 0.500
As1 0.500 0.500 0.500

22.
NaPm2TcN4: relaxed, PBE-GGA.

* uncorrected formation energy: -702 meV/atom
* E: -60.11 eV/cell

abc: 5.953 5.074 5.936
angles: 64.91 50.52 64.56
Fractional positions:
Na1 0.000 0.000 0.000
Pm1 0.251 0.251 0.249
Pm2 0.751 0.751 0.749
Tc1 0.439 0.439 0.561
N1 0.081 0.512 0.919
N2 0.312 0.721 0.279
N3 0.512 0.081 0.488
N4 0.721 0.312 0.688

23.
K3DyNp3Se8: relaxed, PBE-GGA.

* uncorrected formation energy: -1372 meV/atom
* E: -95.17 eV/cell

abc: 9.158 9.158 9.158
angles: 54.74 54.74 54.74
Fractional positions:
K1 0.000 0.500 0.500
K2 0.500 0.000 0.500
K3 0.500 0.500 0.000
Dy1 0.500 0.500 0.500
Np1 0.000 0.000 0.500
Np2 0.000 0.500 0.000
Np3 0.500 0.000 0.000
Se1 0.233 0.734 0.734
Se2 0.234 0.234 0.234
Se3 0.266 0.266 0.767
Se4 0.266 0.767 0.266
Se5 0.734 0.233 0.734
Se6 0.734 0.734 0.233
Se7 0.766 0.766 0.766
Se8 0.767 0.266 0.266

24.
PmSm10Y4: relaxed, PBE-GGA.

* E: -66.75 eV/cell
* formation energy: 737 meV/atom

abc: 9.565 9.565 9.565
angles: 99.55 99.55 131.92
Fractional positions:
Pm1 0.000 0.000 0.000
Sm1 0.050 0.151 0.700
Sm2 0.151 0.451 0.101
Sm3 0.250 0.750 0.500
Sm4 0.350 0.050 0.899
Sm5 0.451 0.350 0.300
Sm6 0.549 0.650 0.700
Sm7 0.650 0.950 0.101
Sm8 0.750 0.250 0.500
Sm9 0.849 0.549 0.899
Sm10 0.950 0.849 0.300
Y1 0.200 0.600 0.800
Y2 0.400 0.200 0.600
Y3 0.600 0.800 0.400
Y4 0.800 0.400 0.200